This record from Alexandria describes crystalline MgTe2Ir at its relaxed geometry. The functional is GGA-PBE.

CIF file:
```
data_MgTe2Ir
_space_group_name_H-M_alt 'P 4 m m'
_space_group_IT_number 99
_cell_length_a 3.578
_cell_length_b 3.578
_cell_length_c 7.510
_cell_angle_alpha 90.00
_cell_angle_beta 90.00
_cell_angle_gamma 90.00
loop_
_space_group_symop_operation_xyz
'x,y,z'
'-y,x,z'
'-x,-y,z'
'y,-x,z'
'-x,y,z'
'y,x,z'
'x,-y,z'
'-y,-x,z'
loop_
_atom_site_label
_atom_site_type_symbol
_atom_site_fract_x
_atom_site_fract_y
_atom_site_fract_z
Mg1 Mg 0.000 0.000 0.000
Te1 Te 0.000 0.000 0.626
Te2 Te 0.500 0.500 0.177
Ir1 Ir 0.500 0.500 0.787
```


This record from Alexandria describes crystalline MgTe2Ir at its relaxed geometry. The functional is GGA-PBE.

CIF file:
```
data_MgTe2Ir
_space_group_name_H-M_alt 'I m m 2'
_space_group_IT_number 44
_cell_length_a 3.167
_cell_length_b 4.754
_cell_length_c 12.299
_cell_angle_alpha 90.00
_cell_angle_beta 90.00
_cell_angle_gamma 90.00
loop_
_space_group_symop_operation_xyz
'x,y,z'
'-x,-y,z'
'-x,y,z'
'x,-y,z'
'x+1/2,y+1/2,z+1/2'
'-x+1/2,-y+1/2,z+1/2'
'-x+1/2,y+1/2,z+1/2'
'x+1/2,-y+1/2,z+1/2'
loop_
_atom_site_label
_atom_site_type_symbol
_atom_site_fract_x
_atom_site_fract_y
_atom_site_fract_z
Mg1 Mg 0.000 0.000 0.000
Te1 Te 0.000 0.000 0.376
Te2 Te 0.000 0.500 0.158
Ir1 Ir 0.000 0.500 0.694
```


This record from Alexandria describes crystalline Mg2TeIr at its relaxed geometry. The functional is GGA-PBE.

CIF file:
```
data_Mg2TeIr
_space_group_name_H-M_alt 'R 3 m'
_space_group_IT_number 160
_space_group_name_Hall 'R 3 -2"'
_cell_length_a 3.5941
_cell_length_b 3.5941
_cell_length_c 25.5182
_cell_angle_alpha 90.00
_cell_angle_beta 90.00
_cell_angle_gamma 120.00
loop_
_atom_site_label
_atom_site_type_symbol
_atom_site_fract_x
_atom_site_fract_y
_atom_site_fract_z
Mg1 Mg 0.0000 0.0000 0.0000
Mg2 Mg 0.0000 0.0000 0.2349
Te1 Te 0.0000 0.0000 0.7682
Ir1 Ir 0.0000 0.0000 0.4944
```


# MgTeIr2 (GGA-PBE, optimized geometry)
# - ΔE to the lowest computed polymorph: 0.071 eV/atom
data_MgTeIr2
_space_group_name_H-M_alt 'P m m 2'
_space_group_IT_number 25
_cell_length_a 3.102
_cell_length_b 4.088
_cell_length_c 5.448
_cell_angle_alpha 90.00
_cell_angle_beta 90.00
_cell_angle_gamma 90.00
loop_
_space_group_symop_operation_xyz
'x,y,z'
'-x,-y,z'
'-x,y,z'
'x,-y,z'
loop_
_atom_site_label
_atom_site_type_symbol
_atom_site_fract_x
_atom_site_fract_y
_atom_site_fract_z
Mg1 Mg 0.000 0.000 0.000
Te1 Te 0.500 0.500 0.666
Ir1 Ir 0.000 0.000 0.486
Ir2 Ir 0.500 0.500 0.176


| no. | total DFT energy (no corrections) (eV for the cell shown) | DOS(E_F) (states/eV/f.u.) |
| --- | --- | --- |
| 1 | -17.2 | 3.3 |
| 2 | -33.7 | 1.9 |
| 3 | -44.5 | 2.3 |
| 4 | -22.3 | 1.7 |